(1)
DFT (GGA-PBE) results for a relaxed structure of Rb2Ga2Tc.

a = 3.721 Å, b = 3.721 Å, c = 23.814 Å
α = 90.00°, β = 90.00°, γ = 90.00°
Space group I4/mmm (No. 139)
Inequivalent atoms, fractional coordinates:
Rb  0.000  0.000  0.107 (multiplicity 4)
Ga  0.000  0.500  0.250 (multiplicity 4)
Tc  0.000  0.000  0.500 (multiplicity 2)

Properties
The formation enthalpy at 0 K comes out at 938.0 meV/atom. As for the crystal system: tetragonal. As for the calculated total energy: -27.3 eV for the cell shown. The calculation puts the theoretical density at 4.1 g/cm³. The calculation puts the energy above the most stable polymorph in this dataset at 0.0000 eV per atom.

(2)
DFT (GGA-PBE) results for a relaxed structure of AcPm4Pd5.

a = 3.619 Å, b = 3.619 Å, c = 18.425 Å
α = 90.00°, β = 90.00°, γ = 90.00°
Space group P4/mmm (No. 123)
Inequivalent atoms, fractional coordinates:
Ac  0.000  0.000  0.000 (multiplicity 1)
Pm  0.000  0.000  0.206 (multiplicity 2)
Pm  0.000  0.000  0.402 (multiplicity 2)
Pd  0.500  0.500  0.113 (multiplicity 2)
Pd  0.500  0.500  0.304 (multiplicity 2)
Pd  0.500  0.500  0.500 (multiplicity 1)

Properties
The formation enthalpy at 0 K comes out at -745.2 meV/atom. As for the crystal system: tetragonal. As for the calculated total energy: -56.5 eV for the cell shown. The calculation puts the theoretical density at 9.2 g/cm³.

What is the formula in the first record?
Rb2Ga2Tc

Which of these has the highest formation enthalpy at 0 K?
Rb2Ga2Tc

The lowest formation enthalpy at 0 K belongs to which entry?
AcPm4Pd5